Entry from the Alexandria database: crystalline La4Ga3Hg at its relaxed geometry (PBE).

Cell: 10.7765 7.6479 5.3888 Å, 90.00 90.00 90.00°
With the nearest neighbours (Å) after each atom.
Element x y z (fractional)
La: 0.0000 0.2418 0.0000  6 Ga 3.27-3.34, 2 Hg 3.34
La: 0.0000 0.7582 0.0000  6 Ga 3.27-3.34, 2 Hg 3.34
La: 0.2500 0.2418 0.4986  6 Ga 3.27-3.34, 2 Hg 3.34
La: 0.2500 0.7582 0.4986  6 Ga 3.27-3.34, 2 Hg 3.34
La: 0.5000 0.2418 0.0000  6 Ga 3.27-3.34, 2 Hg 3.34
La: 0.5000 0.7582 0.0000  6 Ga 3.27-3.34, 2 Hg 3.34
La: 0.7500 0.2418 0.5014  6 Ga 3.27-3.34, 2 Hg 3.34
La: 0.7500 0.7582 0.5014  6 Ga 3.27-3.34, 2 Hg 3.34
Ga: 0.0000 0.0000 0.5000  8 La 3.27
Ga: 0.2500 0.0000 0.9983  8 La 3.27
Ga: 0.2500 0.5000 0.9985  8 La 3.34
Ga: 0.5000 0.0000 0.5000  8 La 3.27
Ga: 0.7500 0.0000 0.0017  8 La 3.27
Ga: 0.7500 0.5000 0.0015  8 La 3.34
Hg: 0.0000 0.5000 0.5000  8 La 3.34
Hg: 0.5000 0.5000 0.5000  8 La 3.34

Fermi-level density of states	16.12	states/eV per cell
total moment	0.00	μB/f.u.


Entry from the Alexandria database: crystalline LaGaHg at its relaxed geometry (PBE).

Cell: 3.6148 3.6148 11.6418 Å, 90.00 90.00 90.00°
With the nearest neighbours (Å) after each atom.
Element x y z (fractional)
La: 0.0000 0.0000 0.0000  4 Ga 3.26, 5 Hg 3.37-3.63, 4 La 3.61
La: 0.5000 0.5000 0.5000  4 Ga 3.26, 5 Hg 3.37-3.63, 4 La 3.61
Ga: 0.0000 0.0000 0.6745  4 Hg 3.01, 4 La 3.26
Ga: 0.5000 0.5000 0.1745  4 Hg 3.01, 4 La 3.26
Hg: 0.0000 0.0000 0.3115  4 Ga 3.01, 4 La 3.37
Hg: 0.5000 0.5000 0.8115  4 Ga 3.01, 4 La 3.37

Fermi-level density of states	4.61	states/eV per cell
total moment	0.00	μB/f.u.


Final energy (computed, eV/cell): -66.87 -18.72